Material: LiSmTe
Method: DFT, GGA-PBE
State: optimized geometry

Cell: 4.465 4.465 4.095 Å, 90.00 90.00 120.00°
Positions (direct):
1 Li 0.000 0.000 0.000
2 Sm 0.667 0.333 0.500
3 Te 0.333 0.667 0.000

Computed properties:
ΔE_f (raw) = -0.95 eV per atom
Energy relative to the lowest polymorph listed for this composition = 0.000 eV per atom
Space-group type = P-6m2 (187)
Spin magnetization = 0.0 μB per formula unit


Material: LiSm2Te
Method: DFT, GGA-PBE
State: optimized geometry

Cell: 11.016 11.016 11.016 Å, 20.79 20.79 20.79°
Positions (direct):
1 Li 0.000 0.000 0.000
2 Sm 0.105 0.105 0.105
3 Sm 0.895 0.895 0.895
4 Te 0.500 0.500 0.500

Computed properties:
ΔE_f (raw) = -0.26 eV per atom
Energy relative to the lowest polymorph listed for this composition = 0.325 eV per atom
Space-group type = R-3m (166)
Spin magnetization = 0.0 μB per formula unit


Material: LiSm3Te4
Method: DFT, GGA-PBE
State: optimized geometry

Cell: 6.257 6.257 6.257 Å, 90.00 90.00 90.00°
Positions (direct):
1 Li 0.000 0.000 0.000
2 Sm 0.000 0.500 0.500
3 Sm 0.500 0.000 0.500
4 Sm 0.500 0.500 0.000
5 Te 0.000 0.000 0.500
6 Te 0.000 0.500 0.000
7 Te 0.500 0.000 0.000
8 Te 0.500 0.500 0.500

Computed properties:
ΔE_f (raw) = -1.36 eV per atom
Energy relative to the lowest polymorph listed for this composition = 0.000 eV per atom
Space-group type = Pm-3m (221)
Spin magnetization = 0.0 μB per formula unit


Material: LiSmTe2
Method: DFT, GGA-PBE
State: optimized geometry

Cell: 7.938 7.938 7.938 Å, 32.06 32.06 32.06°
Positions (direct):
1 Li 0.000 0.000 0.000
2 Sm 0.173 0.173 0.173
3 Te 0.590 0.590 0.590
4 Te 0.758 0.758 0.758

Computed properties:
ΔE_f (raw) = -1.25 eV per atom
Space-group type = R3m (160)
Spin magnetization = 0.0 μB per formula unit


Material: LiSm2Te
Method: DFT, GGA-PBE
State: optimized geometry

Cell: 7.769 7.769 7.769 Å, 31.62 31.62 31.62°
Positions (direct):
1 Li 0.000 0.000 0.000
2 Sm 0.571 0.571 0.571
3 Sm 0.779 0.779 0.779
4 Te 0.344 0.344 0.344

Computed properties:
ΔE_f (raw) = -0.54 eV per atom
Energy relative to the lowest polymorph listed for this composition = 0.049 eV per atom
Space-group type = R3m (160)
Spin magnetization = 0.0 μB per formula unit


Material: Li4Sm3ThTe8
Method: DFT, GGA-PBE
State: optimized geometry

Cell: 8.738 8.738 8.738 Å, 60.30 60.30 60.30°
Positions (direct):
1 Li 0.000 0.000 0.000
2 Li 0.000 0.500 0.500
3 Li 0.500 0.000 0.500
4 Li 0.500 0.500 0.000
5 Sm 0.000 0.000 0.500
6 Sm 0.000 0.500 0.000
7 Sm 0.500 0.000 0.000
8 Th 0.500 0.500 0.500
9 Te 0.246 0.246 0.745
10 Te 0.246 0.745 0.246
11 Te 0.254 0.254 0.254
12 Te 0.255 0.754 0.754
13 Te 0.745 0.246 0.246
14 Te 0.746 0.746 0.746
15 Te 0.754 0.255 0.754
16 Te 0.754 0.754 0.255

Computed properties:
ΔE_f (raw) = -1.25 eV per atom
Space-group type = R-3m (166)
Spin magnetization = 0.0 μB per formula unit


Computed final energy, in the same sequence as the records: -4.21; -3.88; -4.94; -4.48; -4.16; -4.64 eV/atom.